No. 1
# BaSCl2, optimized geometry, DFT PBE-GGA
# ΔE to the lowest computed polymorph ... 273 meV/atom
# E_form (uncorrected) ... -1.1278 eV/atom
# Density of states at the Fermi level ... 4.084 states/eV/cell
# Uncorrected energy ... -3.5637 eV per atom
data_BaSCl2
_cell_length_a 4.954
_cell_length_b 4.954
_cell_length_c 19.354
_cell_angle_alpha 90.00
_cell_angle_beta 90.00
_cell_angle_gamma 90.00
_space_group_name_H-M_alt 'I -4 2 d'
_space_group_IT_number 122
_space_group_name_Hall 'I -4 2bw'
loop_
_atom_site_label
_atom_site_fract_x
_atom_site_fract_y
_atom_site_fract_z
Ba1 0.000 0.000 0.000
S1 0.000 0.000 0.500
Cl1 0.211 0.250 0.625

=====

No. 2
# NaInAgCl3, optimized geometry, DFT PBE-GGA
# E_form (uncorrected) ... -1.0041 eV/atom
# Density of states at the Fermi level ... 0.000 states/eV/cell
# Uncorrected energy ... -3.0789 eV per atom
data_NaInAgCl3
_cell_length_a 8.920
_cell_length_b 4.049
_cell_length_c 9.387
_cell_angle_alpha 90.00
_cell_angle_beta 96.52
_cell_angle_gamma 90.00
_space_group_name_H-M_alt 'P 1 21/m 1'
_space_group_IT_number 11
_space_group_name_Hall '-P 2yb'
loop_
_atom_site_label
_atom_site_fract_x
_atom_site_fract_y
_atom_site_fract_z
Na1 0.149 0.250 0.151
In1 0.304 0.750 0.783
Ag1 0.491 0.750 0.340
Cl1 0.075 0.250 0.834
Cl2 0.312 0.250 0.433
Cl3 0.345 0.750 0.085

=====

No. 3
# Y3NbAg, optimized geometry, DFT PBE-GGA
# ΔE to the lowest computed polymorph ... 190 meV/atom
# Formation energy ... 786 meV per atom
# Density of states at the Fermi level ... 8.260 states/eV/cell
# Uncorrected energy ... -5.6771 eV per atom
data_Y3NbAg
_cell_length_a 5.452
_cell_length_b 5.452
_cell_length_c 5.452
_cell_angle_alpha 90.00
_cell_angle_beta 90.00
_cell_angle_gamma 90.00
_space_group_name_H-M_alt 'P m -3 m'
_space_group_IT_number 221
_space_group_name_Hall '-P 4 2 3'
loop_
_atom_site_label
_atom_site_fract_x
_atom_site_fract_y
_atom_site_fract_z
Y1 0.000 0.000 0.500
Nb1 0.500 0.500 0.500
Ag1 0.000 0.000 0.000

=====

No. 4
# LaHgBr2, optimized geometry, DFT PBE-GGA
# ΔE to the lowest computed polymorph ... 212 meV/atom
# E_form (uncorrected) ... -1.1073 eV/atom
# Density of states at the Fermi level ... 1.844 states/eV/cell
# Uncorrected energy ... -3.2511 eV per atom
data_LaHgBr2
_cell_length_a 4.006
_cell_length_b 4.006
_cell_length_c 7.914
_cell_angle_alpha 90.00
_cell_angle_beta 90.00
_cell_angle_gamma 90.00
_space_group_name_H-M_alt 'P 4 m m'
_space_group_IT_number 99
_space_group_name_Hall 'P 4 -2'
loop_
_atom_site_label
_atom_site_fract_x
_atom_site_fract_y
_atom_site_fract_z
La1 0.000 0.000 0.000
Hg1 0.500 0.500 0.777
Br1 0.000 0.000 0.613
Br2 0.500 0.500 0.211

=====

No. 5
# HfTiPt, optimized geometry, DFT PBE-GGA
# ΔE to the lowest computed polymorph ... 0 meV/atom
# Formation energy ... -518 meV per atom
# Density of states at the Fermi level ... 6.181 states/eV/cell
# Uncorrected energy ... -8.4810 eV per atom
data_HfTiPt
_cell_length_a 5.688
_cell_length_b 3.169
_cell_length_c 6.360
_cell_angle_alpha 90.00
_cell_angle_beta 103.01
_cell_angle_gamma 90.00
_space_group_name_H-M_alt 'P 1 m 1'
_space_group_IT_number 6
_space_group_name_Hall 'P -2y'
loop_
_atom_site_label
_atom_site_fract_x
_atom_site_fract_y
_atom_site_fract_z
Hf1 0.000 0.000 0.000
Hf2 0.476 0.500 0.919
Ti1 0.338 0.500 0.341
Ti2 0.826 0.500 0.336
Pt1 0.153 0.000 0.606
Pt2 0.657 0.000 0.616

=====

No. 6
# Ba2UPN5, optimized geometry, DFT PBE-GGA
# E_form (uncorrected) ... -0.7942 eV/atom
# Density of states at the Fermi level ... 1.682 states/eV/cell
# Uncorrected energy ... -7.7020 eV per atom
data_Ba2UPN5
_cell_length_a 3.527
_cell_length_b 14.860
_cell_length_c 12.159
_cell_angle_alpha 90.00
_cell_angle_beta 90.00
_cell_angle_gamma 90.00
_space_group_name_H-M_alt 'C m c 21'
_space_group_IT_number 36
_space_group_name_Hall 'C 2c -2'
loop_
_atom_site_label
_atom_site_fract_x
_atom_site_fract_y
_atom_site_fract_z
Ba1 0.000 0.099 0.000
Ba2 0.000 0.137 0.680
U1 0.000 0.193 0.382
P1 0.000 0.439 0.755
N1 0.000 0.043 0.335
N2 0.000 0.299 0.987
N3 0.000 0.324 0.355
N4 0.000 0.328 0.757
N5 0.000 0.496 0.647

=====

No. 7
# CsUAg2S4, optimized geometry, DFT PBE-GGA
# E_form (uncorrected) ... -0.6737 eV/atom
# Density of states at the Fermi level ... 14.231 states/eV/cell
# Uncorrected energy ... -4.9680 eV per atom
data_CsUAg2S4
_cell_length_a 6.627
_cell_length_b 8.008
_cell_length_c 9.237
_cell_angle_alpha 90.00
_cell_angle_beta 90.00
_cell_angle_gamma 90.00
_space_group_name_H-M_alt 'I 2 2 2'
_space_group_IT_number 23
_space_group_name_Hall 'I 2 2'
loop_
_atom_site_label
_atom_site_fract_x
_atom_site_fract_y
_atom_site_fract_z
Cs1 0.000 0.000 0.000
U1 0.000 0.000 0.500
Ag1 0.000 0.500 0.158
S1 0.208 0.179 0.332

=====

No. 8
# Sr2In2GaAu4, optimized geometry, DFT PBE-GGA
# Formation energy ... -498 meV per atom
# Density of states at the Fermi level ... 6.191 states/eV/cell
# Uncorrected energy ... -3.2737 eV per atom
data_Sr2In2GaAu4
_cell_length_a 7.052
_cell_length_b 7.052
_cell_length_c 9.026
_cell_angle_alpha 90.00
_cell_angle_beta 90.00
_cell_angle_gamma 90.00
_space_group_name_H-M_alt 'I 4/m m m'
_space_group_IT_number 139
_space_group_name_Hall '-I 4 2'
loop_
_atom_site_label
_atom_site_fract_x
_atom_site_fract_y
_atom_site_fract_z
Sr1 0.000 0.500 0.250
In1 0.000 0.000 0.182
Ga1 0.000 0.000 0.500
Au1 0.240 0.240 0.000

=====

No. 9
# Tb3PbSeO, optimized geometry, DFT PBE-GGA
# E_form (uncorrected) ... -1.7330 eV/atom
# Density of states at the Fermi level ... 4.062 states/eV/cell
# Uncorrected energy ... -6.0733 eV per atom
data_Tb3PbSeO
_cell_length_a 8.913
_cell_length_b 4.014
_cell_length_c 8.999
_cell_angle_alpha 90.00
_cell_angle_beta 102.09
_cell_angle_gamma 90.00
_space_group_name_H-M_alt 'P 1 21/m 1'
_space_group_IT_number 11
_space_group_name_Hall '-P 2yb'
loop_
_atom_site_label
_atom_site_fract_x
_atom_site_fract_y
_atom_site_fract_z
Tb1 0.078 0.250 0.340
Tb2 0.339 0.250 0.984
Tb3 0.392 0.750 0.647
Pb1 0.322 0.750 0.275
Se1 0.156 0.250 0.666
O1 0.412 0.750 0.905

=====

No. 10
# Rb2CuTe, optimized geometry, DFT PBE-GGA
# E_form (uncorrected) ... -0.2768 eV/atom
# Density of states at the Fermi level ... 7.269 states/eV/cell
# Uncorrected energy ... -2.5700 eV per atom
data_Rb2CuTe
_cell_length_a 12.541
_cell_length_b 12.541
_cell_length_c 5.163
_cell_angle_alpha 90.00
_cell_angle_beta 90.00
_cell_angle_gamma 90.00
_space_group_name_H-M_alt 'I -4 2 d'
_space_group_IT_number 122
_space_group_name_Hall 'I -4 2bw'
loop_
_atom_site_label
_atom_site_fract_x
_atom_site_fract_y
_atom_site_fract_z
Rb1 0.065 0.750 0.125
Cu1 0.000 0.000 0.000
Te1 0.000 0.000 0.500

=====

No. 11
# CeDy2Th, optimized geometry, DFT PBE-GGA
# ΔE to the lowest computed polymorph ... 26 meV/atom
# Formation energy ... 75 meV per atom
# Density of states at the Fermi level ... 7.340 states/eV/cell
# Uncorrected energy ... -5.5649 eV per atom
data_CeDy2Th
_cell_length_a 3.519
_cell_length_b 3.519
_cell_length_c 10.146
_cell_angle_alpha 90.00
_cell_angle_beta 90.00
_cell_angle_gamma 90.00
_space_group_name_H-M_alt 'P 4/m m m'
_space_group_IT_number 123
_space_group_name_Hall '-P 4 2'
loop_
_atom_site_label
_atom_site_fract_x
_atom_site_fract_y
_atom_site_fract_z
Ce1 0.000 0.000 0.000
Dy1 0.500 0.500 0.251
Th1 0.000 0.000 0.500

=====

No. 12
# ScMo2Os, optimized geometry, DFT PBE-GGA
# ΔE to the lowest computed polymorph ... 106 meV/atom
# Formation energy ... -8 meV per atom
# Density of states at the Fermi level ... 2.585 states/eV/cell
# Uncorrected energy ... -9.8142 eV per atom
data_ScMo2Os
_cell_length_a 2.835
_cell_length_b 4.418
_cell_length_c 5.242
_cell_angle_alpha 90.00
_cell_angle_beta 100.20
_cell_angle_gamma 90.00
_space_group_name_H-M_alt 'P 1 m 1'
_space_group_IT_number 6
_space_group_name_Hall 'P -2y'
loop_
_atom_site_label
_atom_site_fract_x
_atom_site_fract_y
_atom_site_fract_z
Sc1 0.000 0.000 0.000
Mo1 0.522 0.000 0.504
Mo2 0.728 0.500 0.258
Os1 0.264 0.500 0.755

=====

Question: Which value of uncorrected energy does entry 2 give?
Answer: -3.0789 eV per atom

=====

Question: Among the records above, which one has the highest density of states at the Fermi level?
Answer: CsUAg2S4